Run i
Here is a relaxed structure of YAlW from the Open Quantum Materials Database. Energies are from GGA-PBE.

Output
- space-group type = No. 216
- spin magnetization (μB/atom) = 0.73

CIF file:
```
data_YAlW
_symmetry_space_group_name_H-M 'P 1'
_symmetry_Int_Tables_number 1
_symmetry_space_group_name_Hall 'P 1'
_cell_length_a 4.7762
_cell_length_b 4.7762
_cell_length_c 4.7762
_cell_angle_alpha 60.00
_cell_angle_beta 60.00
_cell_angle_gamma 60.00
loop_
_atom_site_label
_atom_site_fract_x
_atom_site_fract_y
_atom_site_fract_z
Y1 0.0000 0.0000 0.0000
Al1 0.7500 0.7500 0.7500
W1 0.2500 0.2500 0.2500
```

=====

Run ii
Here is a relaxed structure of YAlW from the Open Quantum Materials Database. Energies are from GGA-PBE.

Output
- space-group type = No. 216
- spin magnetization (μB/atom) = 0.61

CIF file:
```
data_YAlW
_symmetry_space_group_name_H-M 'P 1'
_symmetry_Int_Tables_number 1
_symmetry_space_group_name_Hall 'P 1'
_cell_length_a 4.6678
_cell_length_b 4.6678
_cell_length_c 4.6678
_cell_angle_alpha 60.00
_cell_angle_beta 60.00
_cell_angle_gamma 60.00
loop_
_atom_site_label
_atom_site_fract_x
_atom_site_fract_y
_atom_site_fract_z
Y1 0.0000 0.0000 0.0000
Al1 0.5000 0.5000 0.5000
W1 0.7500 0.7500 0.7500
```

=====

Top of the stability list: run ii, leading by 558 meV per atom.

=====

Run i
Here is a relaxed structure of HfAgNO from the Open Quantum Materials Database. Energies are from GGA-PBE.

Output
- space-group type = No. 26
- spin magnetization (μB/atom) = 0.00

CIF file:
```
data_HfAgNO
_symmetry_space_group_name_H-M 'P 1'
_symmetry_Int_Tables_number 1
_symmetry_space_group_name_Hall 'P 1'
_cell_length_a 3.5332
_cell_length_b 6.9743
_cell_length_c 5.8633
_cell_angle_alpha 90.00
_cell_angle_beta 90.00
_cell_angle_gamma 90.00
loop_
_atom_site_label
_atom_site_fract_x
_atom_site_fract_y
_atom_site_fract_z
Hf1 0.0000 0.1526 0.0000
Hf2 0.0000 0.8474 0.5000
Ag1 0.5000 0.4780 0.6498
Ag2 0.5000 0.5220 0.1498
N1 0.5000 0.2858 0.9215
N2 0.5000 0.7142 0.4215
O1 0.0000 0.0834 0.3233
O2 0.0000 0.9166 0.8233
```

=====

Run ii
Here is a relaxed structure of HfAgNO from the Open Quantum Materials Database. Energies are from GGA-PBE.

Output
- space-group type = No. 26
- spin magnetization (μB/atom) = 0.00

CIF file:
```
data_HfAgNO
_symmetry_space_group_name_H-M 'P 1'
_symmetry_Int_Tables_number 1
_symmetry_space_group_name_Hall 'P 1'
_cell_length_a 3.6130
_cell_length_b 5.9843
_cell_length_c 5.7144
_cell_angle_alpha 90.00
_cell_angle_beta 90.00
_cell_angle_gamma 90.00
loop_
_atom_site_label
_atom_site_fract_x
_atom_site_fract_y
_atom_site_fract_z
Hf1 0.0000 0.1817 0.0000
Hf2 0.0000 0.8183 0.5000
Ag1 0.5000 0.2821 0.5061
Ag2 0.5000 0.7179 0.0061
N1 0.0000 0.1179 0.3450
N2 0.0000 0.8821 0.8450
O1 0.5000 0.3222 0.9306
O2 0.5000 0.6778 0.4306
```

=====

Top of the stability list: run i, leading by 141 meV per atom.

=====

Run i
Here is a relaxed structure of SrHgSeO from the Open Quantum Materials Database. Energies are from GGA-PBE.

Output
- space-group type = No. 29

CIF file:
```
data_SrHgSeO
_symmetry_space_group_name_H-M 'P 1'
_symmetry_Int_Tables_number 1
_symmetry_space_group_name_Hall 'P 1'
_cell_length_a 7.3583
_cell_length_b 7.8259
_cell_length_c 7.0340
_cell_angle_alpha 90.00
_cell_angle_beta 90.00
_cell_angle_gamma 90.00
loop_
_atom_site_label
_atom_site_fract_x
_atom_site_fract_y
_atom_site_fract_z
Sr1 0.1234 0.0874 0.0000
Sr2 0.3766 0.0874 0.5000
Sr3 0.6234 0.9126 0.0000
Sr4 0.8766 0.9126 0.5000
Hg1 0.0392 0.6356 0.1135
Hg2 0.4608 0.6356 0.6135
Hg3 0.5392 0.3644 0.1135
Hg4 0.9608 0.3644 0.6135
Se1 0.1036 0.6521 0.7306
Se2 0.3964 0.6521 0.2306
Se3 0.6036 0.3479 0.7306
Se4 0.8964 0.3479 0.2306
O1 0.0870 0.0996 0.6590
O2 0.4130 0.0996 0.1590
O3 0.5870 0.9004 0.6590
O4 0.9130 0.9004 0.1590
```

=====

Run ii
Here is a relaxed structure of SrHgSeO from the Open Quantum Materials Database. Energies are from GGA-PBE.

Output
- space-group type = No. 62

CIF file:
```
data_SrHgSeO
_symmetry_space_group_name_H-M 'P 1'
_symmetry_Int_Tables_number 1
_symmetry_space_group_name_Hall 'P 1'
_cell_length_a 6.2527
_cell_length_b 4.1689
_cell_length_c 14.9528
_cell_angle_alpha 90.00
_cell_angle_beta 90.00
_cell_angle_gamma 90.00
loop_
_atom_site_label
_atom_site_fract_x
_atom_site_fract_y
_atom_site_fract_z
Sr1 0.2453 0.2500 0.1020
Sr2 0.2547 0.7500 0.6020
Sr3 0.7453 0.2500 0.3980
Sr4 0.7547 0.7500 0.8980
Hg1 0.2005 0.2500 0.8193
Hg2 0.2995 0.7500 0.3193
Hg3 0.7005 0.2500 0.6807
Hg4 0.7995 0.7500 0.1807
Se1 0.2426 0.2500 0.4302
Se2 0.2574 0.7500 0.9302
Se3 0.7426 0.2500 0.0698
Se4 0.7574 0.7500 0.5698
O1 0.2006 0.7500 0.1797
O2 0.2994 0.2500 0.6797
O3 0.7006 0.7500 0.3203
O4 0.7994 0.2500 0.8203
```

=====

Run iii
Here is a relaxed structure of SrHgSeO from the Open Quantum Materials Database. Energies are from GGA-PBE.

Output
- space-group type = No. 186

CIF file:
```
data_SrHgSeO
_symmetry_space_group_name_H-M 'P 1'
_symmetry_Int_Tables_number 1
_symmetry_space_group_name_Hall 'P 1'
_cell_length_a 4.1949
_cell_length_b 4.1949
_cell_length_c 12.8343
_cell_angle_alpha 90.00
_cell_angle_beta 90.00
_cell_angle_gamma 120.00
loop_
_atom_site_label
_atom_site_fract_x
_atom_site_fract_y
_atom_site_fract_z
Sr1 0.0000 0.0000 0.0000
Sr2 0.0000 0.0000 0.5000
Hg1 0.3333 0.6667 0.2629
Hg2 0.6667 0.3333 0.7629
Se1 0.3333 0.6667 0.6293
Se2 0.6667 0.3333 0.1293
O1 0.0000 0.0000 0.3217
O2 0.0000 0.0000 0.8217
```

=====

Top of the stability list: run i, leading by 12 meV per atom.

=====

Run i
Here is a relaxed structure of PaBAu from the Open Quantum Materials Database. Energies are from GGA-PBE.

Output
- space-group type = No. 216
- spin magnetization (μB/atom) = 0.02

CIF file:
```
data_PaBAu
_symmetry_space_group_name_H-M 'P 1'
_symmetry_Int_Tables_number 1
_symmetry_space_group_name_Hall 'P 1'
_cell_length_a 4.4725
_cell_length_b 4.4725
_cell_length_c 4.4725
_cell_angle_alpha 60.00
_cell_angle_beta 60.00
_cell_angle_gamma 60.00
loop_
_atom_site_label
_atom_site_fract_x
_atom_site_fract_y
_atom_site_fract_z
Pa1 0.0000 0.0000 0.0000
B1 0.5000 0.5000 0.5000
Au1 0.7500 0.7500 0.7500
```

=====

Run ii
Here is a relaxed structure of PaBAu from the Open Quantum Materials Database. Energies are from GGA-PBE.

Output
- space-group type = No. 216
- spin magnetization (μB/atom) = 0.26

CIF file:
```
data_PaBAu
_symmetry_space_group_name_H-M 'P 1'
_symmetry_Int_Tables_number 1
_symmetry_space_group_name_Hall 'P 1'
_cell_length_a 4.2971
_cell_length_b 4.2971
_cell_length_c 4.2971
_cell_angle_alpha 60.00
_cell_angle_beta 60.00
_cell_angle_gamma 60.00
loop_
_atom_site_label
_atom_site_fract_x
_atom_site_fract_y
_atom_site_fract_z
Pa1 0.0000 0.0000 0.0000
B1 0.7500 0.7500 0.7500
Au1 0.5000 0.5000 0.5000
```

=====

Top of the stability list: run ii, leading by 579 meV per atom.